# PBE SrLaGa2, relaxed
data_SrLaGa2
_space_group_name_H-M_alt 'A m m 2'
_space_group_IT_number 38
_space_group_name_Hall 'A 2 -2'
_cell_length_a 4.374
_cell_length_b 4.608
_cell_length_c 11.747
_cell_angle_alpha 90.00
_cell_angle_beta 90.00
_cell_angle_gamma 90.00
loop_
_atom_site_label
_atom_site_fract_x
_atom_site_fract_y
_atom_site_fract_z
Sr1 0.000 0.000 0.000
La1 0.500 0.000 0.720
Ga1 0.000 0.000 0.287
Ga2 0.500 0.000 0.419
# Total moment = 0.0 Bohr magnetons per cell
# ΔE_f = -478 meV per atom